No. 1
A relaxed structure of TbPrSmCd. Source: Alexandria, functional PBE.

Lattice parameters (Å, degrees): 3.685 3.685 9.076 90.00 90.00 90.00
Fractional coordinates of all 4 atoms:
Tb 0.500 0.500 0.351
Pr 0.000 0.000 0.075
Sm 0.500 0.500 0.793
Cd 0.000 0.000 0.566

Total moment in Bohr magnetons per cell: 0.0
Calculated formation energy in eV per formula unit: -0.606



No. 2
A relaxed structure of NaCuHgCl4. Source: Alexandria, functional PBE.

Lattice parameters (Å, degrees): 7.987 7.764 7.764 60.53 59.05 59.05
Fractional coordinates of all 14 atoms:
Na 0.000 0.000 0.000
Na 0.000 0.500 0.500
Cu 0.615 0.635 0.135
Cu 0.385 0.365 0.865
Hg 0.500 0.000 0.500
Hg 0.000 0.000 0.500
Cl 0.741 0.750 0.768
Cl 0.259 0.732 0.750
Cl 0.741 0.268 0.250
Cl 0.259 0.250 0.232
Cl 0.248 0.755 0.255
Cl 0.741 0.755 0.255
Cl 0.259 0.245 0.745
Cl 0.752 0.245 0.745

Raw formation energy in eV/atom: -0.875
Total moment in Bohr magnetons per cell: 0.2



No. 3
A relaxed structure of LaEr2ScHg4. Source: Alexandria, functional PBE.

Lattice parameters (Å, degrees): 5.189 5.189 9.318 73.83 73.83 60.00
Fractional coordinates of all 8 atoms:
La 0.000 0.000 0.000
Er 0.754 0.754 0.737
Er 0.246 0.246 0.263
Sc 0.500 0.500 0.500
Hg 0.385 0.385 0.846
Hg 0.871 0.871 0.386
Hg 0.129 0.129 0.614
Hg 0.615 0.615 0.154

Total moment in Bohr magnetons per cell: 0.0
Calculated formation energy in eV per formula unit: -3.531



no.,electronic total energy (eV per atom)
1,-3.912
2,-2.747
3,-3.140